TcWNO2 | GGA+U | relaxed

```
data_TcWNO2
_chemical_formula_sum 'Tc1 W1 N1 O2'
_cell_length_a 3.858
_cell_length_b 3.858
_cell_length_c 4.084
_cell_angle_alpha 90.00
_cell_angle_beta 90.00
_cell_angle_gamma 90.00
_space_group_name_H-M_alt 'P 4/m m m'
_space_group_IT_number 123
_space_group_name_Hall '-P 4 2'
loop_
_atom_site_label
_atom_site_type_symbol
_atom_site_fract_x
_atom_site_fract_y
_atom_site_fract_z
Tc1 Tc 0.000 0.000 0.000
W1 W 0.500 0.500 0.500
N1 N 0.000 0.000 0.500
O1 O 0.000 0.500 0.000
```

Values from the calculation:
E   -7.1623 eV/atom